Density functional theory data (PBE-GGA) for a relaxed structure of DyY2MgO.

a b c (Å): 4.8185 4.8553 4.8553
angles (deg): 90.00 90.00 90.00
Fractional coordinates of all 5 atoms:
Dy 0.5000 0.0000 0.0000
Y 0.0000 0.0000 0.5000
Y 0.0000 0.5000 0.0000
Mg 0.5000 0.5000 0.5000
O 0.0000 0.0000 0.0000

Properties
- E_form (uncorrected) (eV/atom) = -1.20